1.
# Ac3HgHIr

A relaxed Ac3HgHIr crystal (GGA-PBE, the Alexandria database).

calculated total energy = -4.699 eV per atom
V = 31.2 Å³/atom
magnetization = 0.000 μB per atom

Cell lengths 4.334, 9.220, 9.611 Å; angles 103.06, 90.00, 90.00 degrees
Fractional positions:
Ac: 0.750 0.880 0.140
Ac: 0.250 0.120 0.860
Ac: 0.750 0.198 0.529
Ac: 0.250 0.554 0.835
Ac: 0.750 0.446 0.165
Ac: 0.250 0.802 0.471
Ir: 0.750 0.330 0.841
Ir: 0.250 0.670 0.159
Hg: 0.750 0.818 0.755
Hg: 0.250 0.182 0.245
H: 0.250 0.075 0.584
H: 0.750 0.925 0.416

=====

2.
# AcHgH8Ir2

A relaxed AcHgH8Ir2 crystal (GGA-PBE, the Alexandria database).

calculated total energy = -4.109 eV per atom
V = 10.9 Å³/atom
magnetization = 0.000 μB per atom

Cell lengths 5.002, 5.002, 6.681 Å; angles 68.02, 68.02, 60.00 degrees
Fractional positions:
H: 0.195 0.195 0.415
H: 0.533 0.101 0.848
H: 0.482 0.467 0.152
H: 0.467 0.899 0.152
H: 0.518 0.533 0.848
H: 0.899 0.482 0.152
H: 0.101 0.518 0.848
H: 0.805 0.805 0.585
Ir: 0.713 0.713 0.860
Ir: 0.287 0.287 0.140
Ac: 0.500 0.500 0.500
Hg: 0.000 0.000 0.000

=====

3.
# Ac8Hg3HIr3

A relaxed Ac8Hg3HIr3 crystal (GGA-PBE, the Alexandria database).

calculated total energy = -4.745 eV per atom
V = 34.7 Å³/atom
magnetization = 0.000 μB per atom

Cell lengths 8.674, 8.669, 9.423 Å; angles 117.37, 89.97, 120.02 degrees
Fractional positions:
Ir: 0.500 0.000 0.500
Ir: 0.000 0.500 0.500
Ir: 0.500 0.500 0.500
Hg: 0.000 0.000 0.000
Hg: 0.000 0.500 0.000
Hg: 0.500 0.500 0.000
Ac: 0.734 0.469 0.704
Ac: 0.269 0.032 0.294
Ac: 0.237 0.968 0.706
Ac: 0.237 0.474 0.706
Ac: 0.763 0.526 0.294
Ac: 0.763 0.032 0.294
Ac: 0.731 0.968 0.706
Ac: 0.266 0.531 0.296
H: 0.000 0.000 0.500

=====

4.
# Ac6Hg3HIr2

A relaxed Ac6Hg3HIr2 crystal (GGA-PBE, the Alexandria database).

calculated total energy = -4.416 eV per atom
V = 32.6 Å³/atom
magnetization = 0.000 μB per atom

Cell lengths 7.446, 7.446, 8.523 Å; angles 98.22, 98.22, 120.16 degrees
Fractional positions:
Ac: 0.070 0.411 0.209
Ac: 0.731 0.731 0.200
Ac: 0.411 0.070 0.209
Ac: 0.589 0.930 0.791
Ac: 0.269 0.269 0.800
Ac: 0.930 0.589 0.791
Hg: 0.159 0.841 0.500
Hg: 0.841 0.159 0.500
Hg: 0.500 0.500 0.500
Ir: 0.668 0.332 0.000
Ir: 0.332 0.668 0.000
H: 0.000 0.000 0.000

=====

5.
# Ac8Hg4HIr3

A relaxed Ac8Hg4HIr3 crystal (GGA-PBE, the Alexandria database).

calculated total energy = -4.551 eV per atom
V = 32.9 Å³/atom
magnetization = 0.000 μB per atom

Cell lengths 8.622, 9.561, 8.622 Å; angles 116.78, 120.00, 90.00 degrees
Fractional positions:
Ac: 0.272 0.296 0.034
Ac: 0.238 0.704 0.476
Ac: 0.735 0.705 0.470
Ac: 0.265 0.295 0.530
Ac: 0.762 0.296 0.034
Ac: 0.728 0.704 0.966
Ac: 0.762 0.296 0.524
Ac: 0.238 0.704 0.966
Hg: 0.000 0.000 0.000
Hg: 0.500 0.000 0.000
Hg: 0.500 0.000 0.500
Hg: 0.000 0.000 0.500
Ir: 0.000 0.500 0.500
Ir: 0.500 0.500 0.000
Ir: 0.500 0.500 0.500
H: 0.000 0.500 0.000

=====

6.
# AcHgH6Ir2

A relaxed AcHgH6Ir2 crystal (GGA-PBE, the Alexandria database).

calculated total energy = -4.391 eV per atom
V = 12.1 Å³/atom
magnetization = 0.000 μB per atom

Cell lengths 6.891, 6.891, 5.726 Å; angles 100.60, 100.60, 109.51 degrees
Fractional positions:
H: 0.806 0.799 0.404
H: 0.915 0.546 0.862
H: 0.201 0.194 0.096
H: 0.799 0.806 0.904
H: 0.644 0.525 0.583
H: 0.194 0.201 0.596
H: 0.454 0.085 0.638
H: 0.085 0.454 0.138
H: 0.525 0.644 0.083
H: 0.475 0.356 0.917
H: 0.546 0.915 0.362
H: 0.356 0.475 0.417
Hg: 0.317 0.683 0.750
Hg: 0.683 0.317 0.250
Ir: 0.107 0.313 0.336
Ir: 0.893 0.687 0.664
Ir: 0.313 0.107 0.836
Ir: 0.687 0.893 0.164
Ac: 0.150 0.850 0.250
Ac: 0.850 0.150 0.750

=====

7.
# AcMgHgH

A relaxed AcMgHgH crystal (GGA-PBE, the Alexandria database).

calculated total energy = -2.812 eV per atom
V = 22.7 Å³/atom
magnetization = 0.000 μB per atom

Cell lengths 4.482, 4.482, 9.053 Å; angles 90.00, 90.00, 90.00 degrees
Fractional positions:
H: 0.000 0.000 0.000
H: 0.500 0.500 0.000
Hg: 0.500 0.000 0.708
Hg: 0.000 0.500 0.292
Ac: 0.000 0.500 0.856
Ac: 0.500 0.000 0.144
Mg: 0.500 0.500 0.500
Mg: 0.000 0.000 0.500

=====

8.
# Ac3NiHgH

A relaxed Ac3NiHgH crystal (GGA-PBE, the Alexandria database).

calculated total energy = -3.974 eV per atom
V = 30.5 Å³/atom
magnetization = 0.000 μB per atom

Cell lengths 4.247, 9.071, 9.728 Å; angles 102.76, 90.00, 90.00 degrees
Fractional positions:
H: 0.250 0.076 0.585
H: 0.750 0.924 0.415
Ac: 0.750 0.200 0.525
Ac: 0.250 0.118 0.856
Ac: 0.750 0.882 0.144
Ac: 0.250 0.557 0.837
Ac: 0.750 0.443 0.163
Ac: 0.250 0.800 0.475
Ni: 0.250 0.666 0.157
Ni: 0.750 0.334 0.843
Hg: 0.250 0.181 0.245
Hg: 0.750 0.819 0.755

=====

9.
# Ac5Hg2HOs

A relaxed Ac5Hg2HOs crystal (GGA-PBE, the Alexandria database).

calculated total energy = -4.277 eV per atom
V = 33.2 Å³/atom
magnetization = 0.002 μB per atom

Cell lengths 4.313, 9.897, 14.333 Å; angles 90.00, 90.00, 102.59 degrees
Fractional positions:
Os: 0.800 0.600 0.523
Os: 0.200 0.400 0.023
Ac: 0.049 0.098 0.009
Ac: 0.502 0.005 0.269
Ac: 0.304 0.608 0.382
Ac: 0.696 0.392 0.882
Ac: 0.352 0.705 0.020
Ac: 0.951 0.902 0.509
Ac: 0.299 0.599 0.664
Ac: 0.498 0.995 0.769
Ac: 0.701 0.401 0.164
Ac: 0.648 0.295 0.520
Hg: 0.125 0.250 0.338
Hg: 0.879 0.759 0.204
Hg: 0.121 0.241 0.704
Hg: 0.875 0.750 0.838
H: 0.564 0.128 0.915
H: 0.436 0.872 0.415

=====

10.
# AcHgH4Pd6

A relaxed AcHgH4Pd6 crystal (GGA-PBE, the Alexandria database).

calculated total energy = -4.375 eV per atom
V = 14.7 Å³/atom
magnetization = 0.000 μB per atom

Cell lengths 5.473, 5.473, 6.784 Å; angles 90.00, 90.00, 120.00 degrees
Fractional positions:
Pd: 0.500 0.500 0.709
Pd: 0.000 0.500 0.709
Pd: 0.500 0.000 0.291
Pd: 0.000 0.500 0.291
Pd: 0.500 0.000 0.709
Pd: 0.500 0.500 0.291
H: 0.333 0.667 0.162
H: 0.667 0.333 0.838
H: 0.667 0.333 0.162
H: 0.333 0.667 0.838
Hg: 0.000 0.000 0.500
Ac: 0.000 0.000 0.000

=====

11.
# AcHgH6Pd4

A relaxed AcHgH6Pd4 crystal (GGA-PBE, the Alexandria database).

calculated total energy = -4.069 eV per atom
V = 12.1 Å³/atom
magnetization = 0.000 μB per atom

Cell lengths 4.876, 4.876, 7.073 Å; angles 90.00, 90.00, 120.00 degrees
Fractional positions:
Pd: 0.667 0.333 0.194
Pd: 0.333 0.667 0.194
Pd: 0.333 0.667 0.806
Pd: 0.667 0.333 0.806
H: 0.500 0.500 0.660
H: 0.000 0.500 0.660
H: 0.000 0.500 0.340
H: 0.500 0.000 0.660
H: 0.500 0.500 0.340
H: 0.500 0.000 0.340
Hg: 0.000 0.000 0.000
Ac: 0.000 0.000 0.500

=====

12.
# Ac3HgHPt

A relaxed Ac3HgHPt crystal (GGA-PBE, the Alexandria database).

calculated total energy = -4.344 eV per atom
V = 31.7 Å³/atom
magnetization = 0.000 μB per atom

Cell lengths 4.353, 9.148, 9.750 Å; angles 101.90, 90.00, 90.00 degrees
Fractional positions:
Hg: 0.250 0.176 0.245
Hg: 0.750 0.824 0.755
Pt: 0.750 0.335 0.841
Pt: 0.250 0.665 0.159
H: 0.750 0.922 0.414
H: 0.250 0.078 0.586
Ac: 0.250 0.806 0.478
Ac: 0.250 0.565 0.835
Ac: 0.750 0.194 0.522
Ac: 0.750 0.889 0.144
Ac: 0.250 0.111 0.856
Ac: 0.750 0.435 0.165

=====

13.
# Ac2HgHPt6

A relaxed Ac2HgHPt6 crystal (GGA-PBE, the Alexandria database).

calculated total energy = -5.426 eV per atom
V = 19.7 Å³/atom
magnetization = 0.000 μB per atom

Cell lengths 5.878, 7.409, 5.873 Å; angles 66.74, 59.98, 90.00 degrees
Fractional positions:
Pt: 0.285 0.833 0.940
Pt: 0.715 0.167 0.060
Pt: 0.775 0.831 0.451
Pt: 0.225 0.169 0.549
Pt: 0.225 0.167 0.060
Pt: 0.775 0.833 0.940
Hg: 0.500 0.500 0.000
Ac: 0.228 0.682 0.544
Ac: 0.772 0.318 0.456
H: 0.000 0.000 0.000

=====

14.
# Ac4HgHPt2

A relaxed Ac4HgHPt2 crystal (GGA-PBE, the Alexandria database).

calculated total energy = -4.844 eV per atom
V = 30.8 Å³/atom
magnetization = 0.000 μB per atom

Cell lengths 4.392, 7.650, 15.301 Å; angles 90.00, 90.00, 106.68 degrees
Fractional positions:
Ac: 0.000 0.000 0.500
Ac: 0.429 0.858 0.750
Ac: 0.733 0.467 0.617
Ac: 0.000 0.000 0.000
Ac: 0.267 0.533 0.117
Ac: 0.733 0.467 0.883
Ac: 0.571 0.142 0.250
Ac: 0.267 0.533 0.383
H: 0.841 0.681 0.750
H: 0.159 0.319 0.250
Pt: 0.367 0.733 0.560
Pt: 0.367 0.733 0.940
Pt: 0.633 0.267 0.440
Pt: 0.633 0.267 0.060
Hg: 0.887 0.774 0.250
Hg: 0.113 0.226 0.750

=====

15.
# Ac3HgHRh

A relaxed Ac3HgHRh crystal (GGA-PBE, the Alexandria database).

calculated total energy = -4.436 eV per atom
V = 30.9 Å³/atom
magnetization = 0.000 μB per atom

Cell lengths 4.280, 9.302, 9.572 Å; angles 103.55, 90.00, 90.00 degrees
Fractional positions:
Ac: 0.250 0.122 0.861
Ac: 0.250 0.804 0.473
Ac: 0.750 0.878 0.139
Ac: 0.250 0.555 0.831
Ac: 0.750 0.196 0.527
Ac: 0.750 0.445 0.169
Rh: 0.750 0.334 0.842
Rh: 0.250 0.666 0.158
Hg: 0.750 0.819 0.757
Hg: 0.250 0.181 0.243
H: 0.250 0.075 0.585
H: 0.750 0.925 0.415

=====

16.
# Ac5Hg2HRh

A relaxed Ac5Hg2HRh crystal (GGA-PBE, the Alexandria database).

calculated total energy = -4.009 eV per atom
V = 33.0 Å³/atom
magnetization = 0.052 μB per atom

Cell lengths 4.272, 9.925, 14.353 Å; angles 90.00, 90.00, 102.43 degrees
Site moments in Bohr magnetons follow the coordinates.
Fractional positions:
Hg: 0.125 0.250 0.707  0.00
Hg: 0.875 0.750 0.207  0.00
Hg: 0.125 0.249 0.337  0.01
Hg: 0.875 0.751 0.837  0.01
Ac: 0.646 0.292 0.522  0.02
Ac: 0.695 0.390 0.881  0.00
Ac: 0.500 0.001 0.266  0.03
Ac: 0.045 0.090 0.008  0.06
Ac: 0.305 0.610 0.381  0.00
Ac: 0.500 0.999 0.766  0.03
Ac: 0.354 0.708 0.022  0.02
Ac: 0.698 0.396 0.166  0.01
Ac: 0.955 0.910 0.508  0.06
Ac: 0.302 0.604 0.666  0.01
H: 0.435 0.871 0.414  0.00
H: 0.565 0.129 0.914  0.00
Rh: 0.799 0.598 0.523  0.00
Rh: 0.201 0.402 0.023  0.00

=====

17.
# Ac3HgHRu

A relaxed Ac3HgHRu crystal (GGA-PBE, the Alexandria database).

calculated total energy = -4.563 eV per atom
V = 30.6 Å³/atom
magnetization = 0.000 μB per atom

Cell lengths 4.275, 9.246, 9.586 Å; angles 104.11, 90.00, 90.00 degrees
Fractional positions:
Ac: 0.250 0.119 0.859
Ac: 0.750 0.449 0.164
Ac: 0.750 0.204 0.536
Ac: 0.750 0.881 0.141
Ac: 0.250 0.796 0.464
Ac: 0.250 0.551 0.836
H: 0.750 0.928 0.419
H: 0.250 0.072 0.581
Ru: 0.250 0.677 0.166
Ru: 0.750 0.323 0.834
Hg: 0.250 0.189 0.247
Hg: 0.750 0.811 0.753

=====

18.
# AcHgH6Ru

A relaxed AcHgH6Ru crystal (GGA-PBE, the Alexandria database).

calculated total energy = -3.907 eV per atom
V = 10.9 Å³/atom
magnetization = 0.000 μB per atom

Cell lengths 4.943, 4.943, 4.619 Å; angles 89.99, 90.00, 60.00 degrees
Fractional positions:
Hg: 0.667 0.667 0.500
H: 0.056 0.472 0.228
H: 0.056 0.472 0.772
H: 0.472 0.472 0.228
H: 0.472 0.056 0.228
H: 0.472 0.472 0.772
H: 0.472 0.056 0.772
Ac: 0.000 0.000 0.000
Ru: 0.333 0.333 0.500

=====

19.
# Ac6Hg3HRu2

A relaxed Ac6Hg3HRu2 crystal (GGA-PBE, the Alexandria database).

calculated total energy = -4.295 eV per atom
V = 31.9 Å³/atom
magnetization = 0.000 μB per atom

Cell lengths 7.315, 7.315, 8.612 Å; angles 98.01, 98.01, 120.12 degrees
Fractional positions:
Hg: 0.842 0.158 0.500
Hg: 0.158 0.842 0.500
Hg: 0.500 0.500 0.500
Ac: 0.932 0.592 0.796
Ac: 0.068 0.408 0.204
Ac: 0.408 0.068 0.204
Ac: 0.592 0.932 0.796
Ac: 0.729 0.729 0.193
Ac: 0.271 0.271 0.807
Ru: 0.668 0.332 0.000
Ru: 0.332 0.668 0.000
H: 0.000 0.000 0.000

=====

20.
# AcSnHgH

A relaxed AcSnHgH crystal (GGA-PBE, the Alexandria database).

calculated total energy = -3.450 eV per atom
V = 23.0 Å³/atom
magnetization = 0.000 μB per atom

Cell lengths 4.694, 4.694, 8.342 Å; angles 90.00, 90.00, 90.00 degrees
Fractional positions:
H: 0.000 0.000 0.500
H: 0.500 0.500 0.500
Hg: 0.500 0.000 0.241
Hg: 0.000 0.500 0.759
Sn: 0.500 0.500 0.000
Sn: 0.000 0.000 0.000
Ac: 0.500 0.000 0.652
Ac: 0.000 0.500 0.348